A relaxed structure of Co2Ag5F12, computed with PBE with a Hubbard U.

Lattice parameters (Å, degrees): 12.610 6.178 7.723 90.00 108.31 90.00
Space group C2/m (No. 12)
Symmetry-distinct sites (fractional):
Co1 0.000 0.247 0.000 x4
Ag1 0.000 0.000 0.500 x2
Ag2 0.199 0.500 0.806 x4
Ag3 0.201 0.500 0.390 x4
F1 0.001 0.000 0.835 x4
F2 0.002 0.500 0.831 x4
F3 0.135 0.235 0.563 x8
F4 0.155 0.262 0.083 x8

## Properties
- E_tot: -148.44 eV/cell
- Crystal system: monoclinic

=====

A relaxed structure of CoAgF3, computed with PBE with a Hubbard U.

Lattice parameters (Å, degrees): 3.344 15.019 5.236 90.00 90.00 90.00
Space group Cmcm (No. 63)
Symmetry-distinct sites (fractional):
Co1 0.000 0.198 0.250 x4
Ag1 0.000 0.450 0.250 x4
F1 0.000 0.063 0.250 x4
F2 0.000 0.314 0.000 x8

## Properties
- E_tot: -86.97 eV/cell
- Crystal system: orthorhombic

=====

A relaxed structure of Co2Ag3F8, computed with PBE with a Hubbard U.

Lattice parameters (Å, degrees): 11.550 6.375 5.404 90.00 99.76 90.00
Space group C2/m (No. 12)
Symmetry-distinct sites (fractional):
Co1 0.234 0.000 0.000 x4
Ag1 0.000 0.265 0.500 x4
Ag2 0.000 0.500 0.000 x2
F1 0.114 0.000 0.706 x4
F2 0.148 0.500 0.687 x4
F3 0.163 0.266 0.127 x8

## Properties
- E_tot: -106.60 eV/cell
- Crystal system: monoclinic

=====

A relaxed structure of Co3AgF8, computed with PBE with a Hubbard U.

Lattice parameters (Å, degrees): 12.739 3.918 6.488 90.00 90.65 90.00
Space group Cm (No. 8)
Symmetry-distinct sites (fractional):
Co1 0.000 0.000 0.000 x2
Co2 0.138 0.000 0.494 x2
Co3 0.295 0.000 0.004 x2
Ag1 0.350 0.500 0.511 x2
F1 0.012 0.000 0.714 x2
F2 0.141 0.000 0.029 x2
F3 0.143 0.500 0.476 x2
F4 0.267 0.000 0.701 x2
F5 0.286 0.000 0.304 x2
F6 0.349 0.500 0.973 x2
F7 0.476 0.000 0.001 x2
F8 0.498 0.500 0.287 x2

## Properties
- E_tot: -108.66 eV/cell
- Crystal system: monoclinic

=====

A relaxed structure of Co2AgF6, computed with PBE with a Hubbard U.

Lattice parameters (Å, degrees): 4.892 4.892 9.897 90.00 90.00 90.00
Space group P4_2/mnm (No. 136)
Symmetry-distinct sites (fractional):
Co1 0.000 0.000 0.168 x4
Ag1 0.000 0.000 0.500 x2
F1 0.182 0.182 0.000 x4
F2 0.214 0.214 0.313 x8

## Properties
- E_tot: -80.31 eV/cell
- Crystal system: tetragonal

=====

A relaxed structure of Co2AgF6, computed with PBE with a Hubbard U.

Lattice parameters (Å, degrees): 5.3510 5.3510 4.8692 90.00 90.00 120.00
Space group P-31m (No. 162)
Symmetry-distinct sites (fractional):
Co1 0.3333 0.6667 0.0000 x2
Ag1 0.0000 0.0000 0.5000 x1
F1 0.0000 0.3641 0.2225 x6

## Properties
- E_tot: -40.44 eV/cell
- Crystal system: trigonal

=====

A relaxed structure of CoAg4F6, computed with PBE with a Hubbard U.

Lattice parameters (Å, degrees): 6.772 6.772 7.177 90.00 90.00 90.00
Space group P4/mnc (No. 128)
Symmetry-distinct sites (fractional):
Co1 0.000 0.000 0.000 x2
Ag1 0.150 0.350 0.250 x8
F1 0.000 0.000 0.273 x4
F2 0.100 0.710 0.000 x8

## Properties
- E_tot: -81.20 eV/cell
- Crystal system: tetragonal

=====

A relaxed structure of CoAgF2, computed with PBE with a Hubbard U.

Lattice parameters (Å, degrees): 5.920 5.920 5.920 90.00 90.00 90.00
Space group Fm-3m (No. 225)
Symmetry-distinct sites (fractional):
Co1 0.000 0.000 0.000 x4
Ag1 0.000 0.000 0.500 x4
F1 0.250 0.250 0.250 x8

## Properties
- E_tot: -58.67 eV/cell
- Crystal system: cubic

=====

A relaxed structure of CoAg3F6, computed with PBE with a Hubbard U.

Lattice parameters (Å, degrees): 5.900 5.934 10.095 90.00 124.37 90.00
Space group P2_1/c (No. 14)
Symmetry-distinct sites (fractional):
Co1 0.000 0.000 0.000 x2
Ag1 0.275 0.061 0.757 x4
Ag2 0.500 0.000 0.500 x2
F1 0.098 0.050 0.220 x4
F2 0.217 0.735 0.068 x4
F3 0.330 0.176 0.058 x4

## Properties
- E_tot: -77.76 eV/cell
- Crystal system: monoclinic

=====

A relaxed structure of CoAgF3, computed with PBE with a Hubbard U.

Lattice parameters (Å, degrees): 10.929 3.942 6.643 90.00 99.64 90.00
Space group C2/m (No. 12)
Symmetry-distinct sites (fractional):
Co1 0.130 0.000 0.417 x4
Ag1 0.114 0.500 0.915 x4
F1 0.057 0.000 0.690 x4
F2 0.165 0.000 0.131 x4
F3 0.169 0.500 0.474 x4

## Properties
- E_tot: -87.31 eV/cell
- Crystal system: monoclinic

=====

A relaxed structure of Co2Ag4F9, computed with PBE with a Hubbard U.

Lattice parameters (Å, degrees): 5.868 5.918 15.032 93.29 90.56 119.60
Space group P-1 (No. 2)
Symmetry-distinct sites (fractional):
Co1 0.002 0.014 0.349 x2
Co2 0.010 0.004 0.849 x2
Ag1 0.301 0.645 0.519 x2
Ag2 0.338 0.670 0.810 x2
Ag3 0.339 0.648 0.019 x2
Ag4 0.339 0.678 0.311 x2
F1 0.009 0.742 0.745 x2
F2 0.015 0.723 0.398 x2
F3 0.028 0.313 0.912 x2
F4 0.249 0.005 0.250 x2
F5 0.263 0.245 0.756 x2
F6 0.290 0.987 0.914 x2
F7 0.291 0.283 0.101 x2
F8 0.292 0.320 0.414 x2
F9 0.295 0.003 0.588 x2

## Properties
- E_tot: -120.55 eV/cell
- Crystal system: triclinic

=====

A relaxed structure of GaCoAgF6, computed with PBE with a Hubbard U.

Lattice parameters (Å, degrees): 5.3458 5.3458 10.4398 90.00 90.00 120.00
Space group P-31c (No. 163)
Symmetry-distinct sites (fractional):
Ga1 0.3333 0.6667 0.2500 x2
Co1 0.3333 0.6667 0.7500 x2
Ag1 0.0000 0.0000 0.0000 x2
F1 0.0182 0.3824 0.1473 x12

## Properties
- E_tot: -80.71 eV/cell
- Crystal system: trigonal

=====

A relaxed structure of CoAgGeF6, computed with PBE with a Hubbard U.

Lattice parameters (Å, degrees): 5.5712 5.5712 9.8170 90.00 90.00 120.00
Space group P-31c (No. 163)
Symmetry-distinct sites (fractional):
Co1 0.3333 0.6667 0.2500 x2
Ag1 0.0000 0.0000 0.0000 x2
Ge1 0.3333 0.6667 0.7500 x2
F1 0.0509 0.3908 0.1419 x12

## Properties
- E_tot: -78.08 eV/cell
- Crystal system: trigonal

=====

A relaxed structure of CoAgHg2F8, computed with PBE with a Hubbard U.

Lattice parameters (Å, degrees): 6.827 6.827 8.155 90.00 90.00 90.00
Space group I-4m2 (No. 119)
Symmetry-distinct sites (fractional):
Co1 0.000 0.000 0.000 x2
Ag1 0.000 0.500 0.750 x2
Hg1 0.000 0.000 0.500 x2
Hg2 0.000 0.500 0.250 x2
F1 0.000 0.187 0.724 x8
F2 0.000 0.287 0.045 x8

## Properties
- E_tot: -80.66 eV/cell
- Crystal system: tetragonal

=====

A relaxed structure of HoCoAgF6, computed with PBE with a Hubbard U.

Lattice parameters (Å, degrees): 5.7289 5.7289 10.0640 90.00 90.00 120.00
Space group P-31c (No. 163)
Symmetry-distinct sites (fractional):
Ho1 0.3333 0.6667 0.2500 x2
Co1 0.3333 0.6667 0.7500 x2
Ag1 0.0000 0.0000 0.0000 x2
F1 0.0156 0.3736 0.6409 x12

## Properties
- E_tot: -96.38 eV/cell
- Crystal system: trigonal

=====

A relaxed structure of CoAgIF2, computed with PBE with a Hubbard U.

Lattice parameters (Å, degrees): 4.059 4.059 5.962 90.00 90.00 90.00
Space group P4/mmm (No. 123)
Symmetry-distinct sites (fractional):
Co1 0.000 0.000 0.000 x1
Ag1 0.500 0.500 0.500 x1
I1 0.000 0.000 0.500 x1
F1 0.000 0.500 0.000 x2

## Properties
- E_tot: -19.02 eV/cell
- Crystal system: tetragonal

=====

A relaxed structure of CoAgIrF6, computed with PBE with a Hubbard U.

Lattice parameters (Å, degrees): 5.4885 5.4885 10.3567 90.00 90.00 120.00
Space group P-31c (No. 163)
Symmetry-distinct sites (fractional):
Co1 0.3333 0.6667 0.2500 x2
Ag1 0.0000 0.0000 0.0000 x2
Ir1 0.3333 0.6667 0.7500 x2
F1 0.0049 0.3587 0.6483 x12

## Properties
- E_tot: -83.16 eV/cell
- Crystal system: trigonal

=====

A relaxed structure of K2Co3AgF12, computed with PBE with a Hubbard U.

Lattice parameters (Å, degrees): 7.1724 7.1724 17.4485 90.00 90.00 120.00
Space group R-3m (No. 166, hexagonal axes)
Symmetry-distinct sites (fractional):
K1 0.0000 0.0000 0.1201 x6
Co1 0.0000 0.5000 0.0000 x9
Ag1 0.0000 0.0000 0.5000 x3
F1 0.0291 0.5145 0.8956 x18
F2 0.0684 0.5342 0.3231 x18

## Properties
- E_tot: -234.95 eV/cell
- Crystal system: trigonal